[1]
DFT (PBEsol) results for a relaxed structure of La3CuSnSe7.

Cell and atoms, written as extended XYZ:
```
24
Lattice="10.648 0.000 0.000 -5.324 9.221 0.000 0.000 0.000 6.204" Properties=species:S:1:pos:R:3 pbc="T T T"
La -0.450 3.276 0.000
La -2.262 7.973 0.000
La 2.612 2.028 3.102
La 2.712 7.193 0.000
La 7.586 1.248 3.102
La 5.774 5.945 3.102
Cu 0.000 0.000 2.930
Cu 0.000 0.000 6.032
Sn 0.000 6.147 3.601
Sn 5.324 3.074 0.500
Se -2.152 5.259 4.646
Se -0.311 2.344 2.998
Se -3.138 8.318 2.998
Se 1.875 1.442 6.100
Se 0.000 6.147 1.106
Se 1.845 4.728 4.646
Se 0.307 8.455 4.646
Se 5.017 0.766 1.544
Se 3.479 4.493 1.544
Se 5.324 3.074 4.208
Se 3.449 7.779 2.998
Se 8.462 0.903 6.100
Se 5.635 6.877 6.100
Se 7.476 3.962 1.544
```

uncorrected energy = -137.118 eV per cell
ΔE_f (raw) = -1415 meV/atom

[2]
DFT (PBEsol) results for a relaxed structure of SrLaCuSe3.

Cell and atoms, written as extended XYZ:
```
24
Lattice="8.401 0.000 0.000 0.000 4.228 0.000 0.000 0.000 16.340" Properties=species:S:1:pos:R:3 pbc="T T T"
Sr 0.774 1.057 3.489
Sr 3.426 3.171 11.659
Sr 4.974 1.057 4.681
Sr 7.627 3.171 12.851
La 2.024 3.171 7.494
La 2.176 1.057 15.664
La 6.225 3.171 0.676
La 6.376 1.057 8.846
Cu 1.044 1.057 10.348
Cu 3.156 3.171 2.178
Cu 5.245 1.057 14.162
Cu 7.356 3.171 5.992
Se 0.055 1.057 6.566
Se 1.009 3.171 1.040
Se 1.494 1.057 12.753
Se 2.707 3.171 4.583
Se 3.191 1.057 9.210
Se 4.146 3.171 14.736
Se 4.255 1.057 1.604
Se 5.209 3.171 7.129
Se 5.694 1.057 11.757
Se 6.907 3.171 3.587
Se 7.392 1.057 15.299
Se 8.346 3.171 9.774
```

uncorrected energy = -130.399 eV per cell
ΔE_f (raw) = -1588 meV/atom

[3]
DFT (PBEsol) results for a relaxed structure of LaTiCuSe2.

Cell and atoms, written as extended XYZ:
```
5
Lattice="5.564 0.000 0.000 0.000 5.564 0.000 0.000 0.000 5.444" Properties=species:S:1:pos:R:3 pbc="T T T"
La 0.000 0.000 0.000
Ti 0.000 0.000 2.722
Cu 2.782 2.782 2.722
Se 0.000 2.782 0.000
Se 2.782 0.000 0.000
```

uncorrected energy = -21.027 eV per cell
ΔE_f (raw) = 935 meV/atom

[4]
DFT (PBEsol) results for a relaxed structure of LaCu2Si.

Cell and atoms, written as extended XYZ:
```
4
Lattice="2.031 1.172 5.025 -2.031 1.172 5.025 0.000 -2.345 5.025" Properties=species:S:1:pos:R:3 pbc="T T T"
La 0.000 0.000 0.000
Cu 0.000 0.000 3.020
Cu 0.000 0.000 12.056
Si 0.000 0.000 7.538
```

uncorrected energy = -21.435 eV per cell
ΔE_f (raw) = -419 meV/atom

[5]
DFT (PBEsol) results for a relaxed structure of LaCuSi.

Cell and atoms, written as extended XYZ:
```
6
Lattice="4.180 0.000 0.000 -2.090 3.620 0.000 0.000 0.000 8.203" Properties=species:S:1:pos:R:3 pbc="T T T"
La 0.000 0.000 0.000
La 0.000 0.000 4.101
Cu 0.000 2.413 2.051
Cu 2.090 1.207 6.152
Si 0.000 2.413 6.152
Si 2.090 1.207 2.051
```

uncorrected energy = -34.571 eV per cell
ΔE_f (raw) = -620 meV/atom

[6]
DFT (PBEsol) results for a relaxed structure of La2CuSi3.

Cell and atoms, written as extended XYZ:
```
6
Lattice="4.100 0.000 0.000 -2.050 3.551 0.000 0.000 0.000 8.521" Properties=species:S:1:pos:R:3 pbc="T T T"
La 0.000 0.000 2.108
La 0.000 0.000 6.413
Cu 2.050 1.184 0.000
Si 0.000 2.367 0.000
Si 0.000 2.367 4.260
Si 2.050 1.184 4.260
```

uncorrected energy = -36.523 eV per cell
ΔE_f (raw) = -709 meV/atom

[7]
DFT (PBEsol) results for a relaxed structure of LaCuSi.

Cell and atoms, written as extended XYZ:
```
3
Lattice="4.128 0.000 0.000 -2.064 3.575 0.000 0.000 0.000 4.191" Properties=species:S:1:pos:R:3 pbc="T T T"
La 0.000 0.000 0.000
Cu 0.000 2.383 2.096
Si 2.064 1.192 2.096
```

uncorrected energy = -17.262 eV per cell
ΔE_f (raw) = -612 meV/atom

[8]
DFT (PBEsol) results for a relaxed structure of LaCu5Sn.

Cell and atoms, written as extended XYZ:
```
28
Lattice="8.266 0.000 0.000 0.000 5.023 0.000 0.000 0.000 10.536" Properties=species:S:1:pos:R:3 pbc="T T T"
La 2.022 1.256 0.622
La 2.111 3.767 5.890
La 6.155 1.256 4.646
La 6.245 3.767 9.914
Cu 0.537 3.767 1.123
Cu 0.581 5.021 3.287
Cu 0.581 2.513 3.287
Cu 0.666 1.256 5.444
Cu 1.474 1.256 7.844
Cu 2.659 3.767 2.576
Cu 3.467 3.767 0.176
Cu 3.552 0.001 8.555
Cu 3.552 2.510 8.555
Cu 3.596 1.256 6.391
Cu 4.670 3.767 4.145
Cu 4.715 5.021 1.981
Cu 4.715 2.513 1.981
Cu 4.799 1.256 10.360
Cu 5.607 1.256 7.961
Cu 6.792 3.767 2.692
Cu 7.600 3.767 5.092
Cu 7.685 0.001 7.249
Cu 7.685 2.510 7.249
Cu 7.729 1.256 9.413
Sn 1.157 3.767 9.067
Sn 2.977 1.256 3.799
Sn 5.290 3.767 6.737
Sn 7.110 1.256 1.469
```

uncorrected energy = -132.492 eV per cell
energy of formation from the pure elements = -0.264 eV per atom

[9]
DFT (PBEsol) results for a relaxed structure of SrLaCu2.

Cell and atoms, written as extended XYZ:
```
4
Lattice="3.661 -2.109 0.000 3.661 2.109 0.000 -2.424 0.000 7.157" Properties=species:S:1:pos:R:3 pbc="T T T"
Sr 0.000 0.000 0.000
La 2.449 0.000 3.579
Cu 0.012 0.000 5.218
Cu 4.886 0.000 1.939
```

uncorrected energy = -15.272 eV per cell
energy above the lowest structure with this stoichiometry = 188.2 meV/atom
energy of formation from the pure elements = 0.146 eV per atom

[10]
DFT (PBEsol) results for a relaxed structure of SrLaCu2.

Cell and atoms, written as extended XYZ:
```
4
Lattice="4.481 0.000 0.000 0.000 2.016 5.558 0.000 -2.016 5.558" Properties=species:S:1:pos:R:3 pbc="T T T"
Sr 0.000 0.000 0.000
La 2.241 0.000 8.035
Cu 0.000 0.000 3.240
Cu 2.241 0.000 4.588
```

uncorrected energy = -15.991 eV per cell
energy above the lowest structure with this stoichiometry = 8.4 meV/atom
energy of formation from the pure elements = -0.034 eV per atom

[11]
DFT (PBEsol) results for a relaxed structure of SrLaCu2.

Cell and atoms, written as extended XYZ:
```
4
Lattice="3.655 0.000 0.000 0.000 3.655 0.000 0.000 0.000 7.306" Properties=species:S:1:pos:R:3 pbc="T T T"
Sr 0.000 0.000 0.000
La 0.000 0.000 3.653
Cu 1.827 1.827 2.153
Cu 1.827 1.827 5.152
```

uncorrected energy = -15.943 eV per cell
energy above the lowest structure with this stoichiometry = 20.3 meV/atom
energy of formation from the pure elements = -0.022 eV per atom

[12]
DFT (PBEsol) results for a relaxed structure of SrLaCu2.

Cell and atoms, written as extended XYZ:
```
4
Lattice="2.107 1.217 7.341 -2.107 1.217 7.341 0.000 -2.433 7.341" Properties=species:S:1:pos:R:3 pbc="T T T"
Sr 0.000 0.000 0.000
La 0.000 0.000 3.801
Cu 0.000 0.000 9.395
Cu 0.000 0.000 16.746
```

uncorrected energy = -16.024 eV per cell
energy above the lowest structure with this stoichiometry = 0.0 meV/atom
energy of formation from the pure elements = -0.042 eV per atom

[13]
DFT (PBEsol) results for a relaxed structure of SrLaCu.

Cell and atoms, written as extended XYZ:
```
3
Lattice="-1.830 1.830 6.788 1.830 -1.830 6.788 1.830 1.830 -6.788" Properties=species:S:1:pos:R:3 pbc="T T T"
Sr 0.000 0.000 0.000
La 0.000 0.000 10.062
Cu 0.000 0.000 4.810
```

uncorrected energy = -11.399 eV per cell
energy of formation from the pure elements = 0.040 eV per atom

[14]
DFT (PBEsol) results for a relaxed structure of LaTaCu2.

Cell and atoms, written as extended XYZ:
```
4
Lattice="3.078 0.000 0.000 0.000 3.078 0.000 0.000 0.000 7.442" Properties=species:S:1:pos:R:3 pbc="T T T"
La 0.000 0.000 0.000
Ta 1.539 1.539 2.477
Cu 0.000 0.000 4.042
Cu 1.539 1.539 5.218
```

uncorrected energy = -25.675 eV per cell
energy of formation from the pure elements = 0.223 eV per atom

[15]
DFT (PBEsol) results for a relaxed structure of La2CuTc.

Cell and atoms, written as extended XYZ:
```
4
Lattice="0.000 3.411 3.411 3.411 0.000 3.411 3.411 3.411 0.000" Properties=species:S:1:pos:R:3 pbc="T T T"
La 0.000 0.000 0.000
La 1.706 1.706 1.706
Cu 3.411 3.411 3.411
Tc 5.117 5.117 5.117
```

uncorrected energy = -25.187 eV per cell
energy of formation from the pure elements = 0.276 eV per atom

[16]
DFT (PBEsol) results for a relaxed structure of La2CuTc.

Cell and atoms, written as extended XYZ:
```
4
Lattice="2.470 -2.476 0.000 2.470 2.476 0.000 0.000 0.000 7.287" Properties=species:S:1:pos:R:3 pbc="T T T"
La 0.000 0.000 1.726
La 0.000 0.000 5.561
Cu 2.470 0.000 3.643
Tc 2.470 0.000 0.000
```

uncorrected energy = -25.949 eV per cell
energy of formation from the pure elements = 0.086 eV per atom

[17]
DFT (PBEsol) results for a relaxed structure of La2CuTc.

Cell and atoms, written as extended XYZ:
```
4
Lattice="-2.153 2.153 4.464 2.153 -2.153 4.464 2.153 2.153 -4.464" Properties=species:S:1:pos:R:3 pbc="T T T"
La 0.000 0.000 0.000
La 0.000 2.153 2.232
Cu 2.153 0.000 2.232
Tc 0.000 0.000 4.464
```

uncorrected energy = -25.241 eV per cell
energy of formation from the pure elements = 0.263 eV per atom

[18]
DFT (PBEsol) results for a relaxed structure of LaCuTc3.

Cell and atoms, written as extended XYZ:
```
5
Lattice="4.547 0.000 0.000 0.000 4.547 0.000 0.000 0.000 4.547" Properties=species:S:1:pos:R:3 pbc="T T T"
La 0.000 0.000 0.000
Cu 2.273 2.273 2.273
Tc 0.000 2.273 2.273
Tc 2.273 0.000 2.273
Tc 2.273 2.273 0.000
```

uncorrected energy = -37.090 eV per cell
energy of formation from the pure elements = 1.278 eV per atom

[19]
DFT (PBEsol) results for a relaxed structure of LaCuTc.

Cell and atoms, written as extended XYZ:
```
3
Lattice="2.884 0.000 0.000 -1.442 2.497 0.000 0.000 0.000 7.423" Properties=species:S:1:pos:R:3 pbc="T T T"
La 0.000 0.000 0.000
Cu 1.442 0.832 2.716
Tc 0.000 1.665 4.705
```

uncorrected energy = -18.791 eV per cell
energy of formation from the pure elements = 0.719 eV per atom

[20]
DFT (PBEsol) results for a relaxed structure of LaCu2Te.

Cell and atoms, written as extended XYZ:
```
4
Lattice="3.660 0.000 0.000 0.000 3.660 0.000 0.000 0.000 6.544" Properties=species:S:1:pos:R:3 pbc="T T T"
La 0.000 0.000 0.000
Cu 0.000 0.000 3.712
Cu 1.830 1.830 4.343
Te 1.830 1.830 1.775
```

uncorrected energy = -18.188 eV per cell
ΔE_f (raw) = -162 meV/atom

[21]
DFT (PBEsol) results for a relaxed structure of LaCuTe2.

Cell and atoms, written as extended XYZ:
```
4
Lattice="4.133 0.000 0.000 0.000 4.133 0.000 0.000 0.000 6.513" Properties=species:S:1:pos:R:3 pbc="T T T"
La 0.000 0.000 0.000
Cu 2.067 2.067 3.719
Te 0.000 0.000 3.515
Te 2.067 2.067 1.072
```

uncorrected energy = -19.404 eV per cell
ΔE_f (raw) = -668 meV/atom

[22]
DFT (PBEsol) results for a relaxed structure of LaTiZn2Cu.

Cell and atoms, written as extended XYZ:
```
5
Lattice="4.883 0.000 0.000 0.000 4.883 0.000 0.000 0.000 4.521" Properties=species:S:1:pos:R:3 pbc="T T T"
La 0.000 0.000 0.000
Ti 2.442 2.442 2.260
Zn 0.000 2.442 2.260
Zn 2.442 0.000 2.260
Cu 2.442 2.442 0.000
```

uncorrected energy = -19.508 eV per cell
energy of formation from the pure elements = 0.332 eV per atom

[23]
DFT (PBEsol) results for a relaxed structure of LaTlCu.

Cell and atoms, written as extended XYZ:
```
3
Lattice="4.709 0.000 0.000 -2.355 4.079 0.000 0.000 0.000 3.720" Properties=species:S:1:pos:R:3 pbc="T T T"
La 0.000 0.000 0.000
Tl 0.000 2.719 1.860
Cu 2.355 1.360 1.860
```

uncorrected energy = -13.108 eV per cell
energy of formation from the pure elements = -0.266 eV per atom

[24]
DFT (PBEsol) results for a relaxed structure of LaTlCu.

Cell and atoms, written as extended XYZ:
```
3
Lattice="0.000 3.520 3.520 3.520 0.000 3.520 3.520 3.520 0.000" Properties=species:S:1:pos:R:3 pbc="T T T"
La 0.000 0.000 0.000
Tl 1.760 1.760 1.760
Cu 5.280 5.280 5.280
```

uncorrected energy = -11.297 eV per cell
energy of formation from the pure elements = 0.338 eV per atom

[25]
DFT (PBEsol) results for a relaxed structure of LaTlCu.

Cell and atoms, written as extended XYZ:
```
3
Lattice="0.000 3.351 3.351 3.351 0.000 3.351 3.351 3.351 0.000" Properties=species:S:1:pos:R:3 pbc="T T T"
La 0.000 0.000 0.000
Tl 3.351 3.351 3.351
Cu 5.026 5.026 5.026
```

uncorrected energy = -13.006 eV per cell
energy of formation from the pure elements = -0.232 eV per atom

[26]
DFT (PBEsol) results for a relaxed structure of LaTl2Cu.

Cell and atoms, written as extended XYZ:
```
4
Lattice="3.531 0.000 0.000 0.000 3.531 0.000 0.000 0.000 7.758" Properties=species:S:1:pos:R:3 pbc="T T T"
La 0.000 0.000 0.000
Tl 0.000 0.000 4.458
Tl 1.765 1.765 2.332
Cu 1.765 1.765 5.942
```

uncorrected energy = -15.238 eV per cell
energy of formation from the pure elements = -0.074 eV per atom

[27]
DFT (PBEsol) results for a relaxed structure of LaCuW.

Cell and atoms, written as extended XYZ:
```
3
Lattice="0.000 3.182 3.182 3.182 0.000 3.182 3.182 3.182 0.000" Properties=species:S:1:pos:R:3 pbc="T T T"
La 0.000 0.000 0.000
Cu 1.591 1.591 1.591
W 3.182 3.182 3.182
```

uncorrected energy = -20.162 eV per cell
energy above the lowest structure with this stoichiometry = 601.6 meV/atom
energy of formation from the pure elements = 1.109 eV per atom